No. 1
Compound: Be4Se
Source: the Alexandria database
Functional: PBE-GGA
Structure: relaxed

Results
Crystal system: cubic
SG: No. 221
Offset from the most stable computed form: 378 kJ/mol of formula units
Total energy: -2.405 eV per atom

Cell lengths 4.2578, 4.2578, 4.2578 Å; angles 90.00, 90.00, 90.00 degrees
Last column: nearest neighbours and their distance in Å.
Sites, in units of the cell vectors:
Be  0.0000  0.0000  0.0000  12 Be 3.01
Be  0.0000  0.5000  0.5000  2 Se 2.13
Be  0.5000  0.0000  0.5000  2 Se 2.13
Be  0.5000  0.5000  0.0000  2 Se 2.13
Se  0.5000  0.5000  0.5000  6 Be 2.13

=====

No. 2
Compound: CaAlZn3Cu
Source: the Alexandria database
Functional: PBE-GGA
Structure: relaxed

Results
Crystal system: orthorhombic
DFT formation energy: -0.016 eV per atom
SG: No. 63
Total energy: -2.293 eV per atom

Cell lengths 7.1527, 7.1527, 5.5489 Å; angles 90.00, 90.00, 126.70 degrees
Last column: nearest neighbours and their distance in Å.
Sites, in units of the cell vectors:
Ca  0.2071  0.7929  0.7500  2 Cu 2.88, 1 Al 2.96
Ca  0.7929  0.2071  0.2500  2 Cu 2.88, 1 Al 2.96
Al  0.4387  0.5613  0.7500  5 Zn 2.54-2.72
Al  0.5613  0.4387  0.2500  5 Zn 2.54-2.72
Zn  0.1910  0.1910  0.0000  1 Zn 2.45, 2 Al 2.54, 2 Cu 2.64
Zn  0.1910  0.1910  0.5000  1 Zn 2.45, 2 Al 2.54, 2 Cu 2.64
Zn  0.3485  0.6515  0.2500  1 Cu 2.58, 1 Al 2.72
Zn  0.6515  0.3485  0.7500  1 Cu 2.58, 1 Al 2.72
Zn  0.8090  0.8090  0.0000  1 Zn 2.45, 2 Al 2.54, 2 Cu 2.64
Zn  0.8090  0.8090  0.5000  1 Zn 2.45, 2 Al 2.54, 2 Cu 2.64
Cu  0.1469  0.8531  0.2500  5 Zn 2.58-2.64, 2 Ca 2.88
Cu  0.8531  0.1469  0.7500  5 Zn 2.58-2.64, 2 Ca 2.88

=====

No. 3
Compound: LaThP2
Source: the Alexandria database
Functional: PBE-GGA
Structure: relaxed

Results
Crystal system: hexagonal
DFT formation energy: -1.557 eV per atom
SG: No. 194
Offset from the most stable computed form: 11 kJ/mol of formula units
Total energy: -7.349 eV per atom

Cell lengths 4.1672, 4.1672, 13.9362 Å; angles 90.00, 90.00, 120.00 degrees
Last column: nearest neighbours and their distance in Å.
Sites, in units of the cell vectors:
La  0.3333  0.6667  0.2500  6 P 3.02
La  0.6667  0.3333  0.7500  6 P 3.02
Th  0.0000  0.0000  0.0000  6 P 2.92
Th  0.0000  0.0000  0.5000  6 P 2.92
P  0.3333  0.6667  0.6186  3 Th 2.92, 3 La 3.02
P  0.3333  0.6667  0.8814  3 Th 2.92, 3 La 3.02
P  0.6667  0.3333  0.1186  3 Th 2.92, 3 La 3.02
P  0.6667  0.3333  0.3814  3 Th 2.92, 3 La 3.02

=====

No. 4
Compound: TlZnTe2I
Source: the Alexandria database
Functional: PBE-GGA
Structure: relaxed

Results
Crystal system: tetragonal
SG: No. 123
Offset from the most stable computed form: 0 kJ/mol of formula units
Total energy: -2.319 eV per atom

Cell lengths 5.3347, 5.3347, 6.0176 Å; angles 90.00, 90.00, 90.00 degrees
Last column: nearest neighbours and their distance in Å.
Sites, in units of the cell vectors:
Tl  0.0000  0.0000  0.0000  4 I 3.77, 8 Te 4.02
Zn  0.5000  0.5000  0.5000  4 Te 2.67
Te  0.0000  0.5000  0.5000  2 Zn 2.67
Te  0.5000  0.0000  0.5000  2 Zn 2.67
I  0.5000  0.5000  0.0000  2 Zn 3.01

=====

Q: What is the total energy in the fourth record?
A: -2.319 eV per atom